No. 1
DFT (GGA-PBE) results for a relaxed ScTcO5 crystal.

a = 5.494 Å, b = 5.494 Å, c = 8.148 Å
α = 109.26°, β = 109.26°, γ = 86.13°
Fractional coordinates of all 14 atoms:
Sc  0.000  0.000  0.000
Sc  0.000  0.000  0.500
Tc  0.330  0.670  0.750
Tc  0.670  0.330  0.250
O  0.059  0.941  0.750
O  0.254  0.704  0.959
O  0.264  0.336  0.647
O  0.296  0.746  0.541
O  0.336  0.264  0.147
O  0.664  0.736  0.853
O  0.704  0.254  0.459
O  0.736  0.664  0.353
O  0.746  0.296  0.041
O  0.941  0.059  0.250

Summary:
Formation energy from raw total energies ... -2.019 eV/atom
Magnetization ... 0.000 μB per cell
Total DFT energy (no corrections) ... -111.2 eV per cell

No. 2
DFT (GGA-PBE) results for a relaxed NaBTe2N crystal.

a = 6.487 Å, b = 6.487 Å, c = 2.757 Å
α = 90.00°, β = 90.00°, γ = 90.00°
Fractional coordinates of all 5 atoms:
Na  0.000  0.000  0.000
B  0.500  0.500  0.500
Te  0.000  0.500  0.500
Te  0.500  0.000  0.500
N  0.500  0.500  0.000

Summary:
Formation energy from raw total energies ... -0.100 eV/atom
Magnetization ... 0.000 μB per cell
Total DFT energy (no corrections) ... -23.1 eV per cell
Energy relative to the lowest polymorph listed for this composition ... 0.0 kJ/mol of formula units

No. 3
DFT (GGA-PBE) results for a relaxed DyScCd2 crystal.

a = 7.288 Å, b = 7.288 Å, c = 7.288 Å
α = 90.00°, β = 90.00°, γ = 90.00°
Fractional coordinates of all 16 atoms:
Dy  0.000  0.000  0.000
Dy  0.000  0.500  0.500
Dy  0.500  0.000  0.500
Dy  0.500  0.500  0.000
Sc  0.000  0.000  0.500
Sc  0.000  0.500  0.000
Sc  0.500  0.000  0.000
Sc  0.500  0.500  0.500
Cd  0.250  0.250  0.250
Cd  0.250  0.250  0.750
Cd  0.250  0.750  0.250
Cd  0.250  0.750  0.750
Cd  0.750  0.250  0.250
Cd  0.750  0.250  0.750
Cd  0.750  0.750  0.250
Cd  0.750  0.750  0.750

Summary:
Calculated formation energy ... -0.300 eV per atom
Magnetization ... 0.010 μB per cell
Total DFT energy (no corrections) ... -55.9 eV per cell
Energy relative to the lowest polymorph listed for this composition ... 0.4 kJ/mol of formula units

No. 4
DFT (GGA-PBE) results for a relaxed Pr3NdAs3 crystal.

a = 9.104 Å, b = 9.104 Å, c = 9.104 Å
α = 90.00°, β = 90.00°, γ = 90.00°
Fractional coordinates of all 28 atoms:
Pr  0.066  0.434  0.566
Pr  0.184  0.184  0.184
Pr  0.184  0.816  0.316
Pr  0.316  0.184  0.816
Pr  0.316  0.816  0.684
Pr  0.434  0.566  0.066
Pr  0.566  0.066  0.434
Pr  0.684  0.316  0.816
Pr  0.684  0.684  0.684
Pr  0.816  0.316  0.184
Pr  0.816  0.684  0.316
Pr  0.934  0.934  0.934
Nd  0.066  0.566  0.934
Nd  0.434  0.434  0.434
Nd  0.566  0.934  0.066
Nd  0.934  0.066  0.566
As  0.000  0.251  0.874
As  0.000  0.751  0.626
As  0.126  0.500  0.249
As  0.249  0.126  0.500
As  0.251  0.874  0.000
As  0.374  0.500  0.749
As  0.500  0.249  0.126
As  0.500  0.749  0.374
As  0.626  0.000  0.751
As  0.749  0.374  0.500
As  0.751  0.626  0.000
As  0.874  0.000  0.251

Summary:
Calculated formation energy ... -1.264 eV per atom
Magnetization ... 0.000 μB per cell
Total DFT energy (no corrections) ... -167.6 eV per cell

No. 5
DFT (GGA-PBE) results for a relaxed LiTi2MnHg crystal.

a = 4.396 Å, b = 4.396 Å, c = 5.137 Å
α = 90.00°, β = 90.00°, γ = 90.00°
Fractional coordinates of all 5 atoms:
Li  0.000  0.000  0.000
Ti  0.000  0.500  0.500
Ti  0.500  0.000  0.500
Mn  0.500  0.500  0.500
Hg  0.500  0.500  0.000

Summary:
Calculated formation energy ... 0.331 eV per atom
Magnetization ... 0.000 μB per cell
Total DFT energy (no corrections) ... -25.5 eV per cell
Energy relative to the lowest polymorph listed for this composition ... 0.0 kJ/mol of formula units

No. 6
DFT (GGA-PBE) results for a relaxed PrIn2Si2Au7 crystal.

a = 4.641 Å, b = 4.641 Å, c = 12.664 Å
α = 90.25°, β = 90.25°, γ = 98.26°
Fractional coordinates of all 12 atoms:
Pr  0.000  0.000  0.000
In  0.143  0.143  0.625
In  0.857  0.857  0.375
Si  0.336  0.336  0.231
Si  0.664  0.664  0.769
Au  0.123  0.527  0.822
Au  0.332  0.332  0.422
Au  0.473  0.877  0.178
Au  0.500  0.500  0.000
Au  0.527  0.123  0.822
Au  0.668  0.668  0.578
Au  0.877  0.473  0.178

Summary:
Formation energy from raw total energies ... -0.227 eV/atom
Magnetization ... 0.000 μB per cell
Total DFT energy (no corrections) ... -46.8 eV per cell

No. 7
DFT (GGA-PBE) results for a relaxed Ba2TcAg crystal.

a = 8.035 Å, b = 8.035 Å, c = 8.035 Å
α = 90.00°, β = 90.00°, γ = 90.00°
Fractional coordinates of all 16 atoms:
Ba  0.250  0.250  0.250
Ba  0.250  0.250  0.750
Ba  0.250  0.750  0.250
Ba  0.250  0.750  0.750
Ba  0.750  0.250  0.250
Ba  0.750  0.250  0.750
Ba  0.750  0.750  0.250
Ba  0.750  0.750  0.750
Tc  0.000  0.000  0.000
Tc  0.000  0.500  0.500
Tc  0.500  0.000  0.500
Tc  0.500  0.500  0.000
Ag  0.000  0.000  0.500
Ag  0.000  0.500  0.000
Ag  0.500  0.000  0.000
Ag  0.500  0.500  0.500

Summary:
Calculated formation energy ... 0.634 eV per atom
Magnetization ... 8.672 μB per cell
Total DFT energy (no corrections) ... -58.1 eV per cell
Energy relative to the lowest polymorph listed for this composition ... 66.8 kJ/mol of formula units

No. 8
DFT (GGA-PBE) results for a relaxed NaTb2Ce3Te6 crystal.

a = 9.983 Å, b = 9.983 Å, c = 8.963 Å
α = 103.12°, β = 103.12°, γ = 25.64°
Fractional coordinates of all 12 atoms:
Na  0.000  0.000  0.000
Tb  0.332  0.332  0.661
Tb  0.668  0.668  0.339
Ce  0.000  0.000  0.500
Ce  0.335  0.335  0.167
Ce  0.665  0.665  0.833
Te  0.166  0.166  0.092
Te  0.168  0.168  0.580
Te  0.496  0.496  0.752
Te  0.504  0.504  0.248
Te  0.832  0.832  0.420
Te  0.834  0.834  0.908

Summary:
Formation energy from raw total energies ... -1.324 eV/atom
Magnetization ... 3.652 μB per cell
Total DFT energy (no corrections) ... -63.1 eV per cell